Crystalline Be3N2 at its relaxed geometry. Source: Alexandria, functional PBEsol.

Geometry as extended XYZ:
```
10
Lattice="2.838 0.000 0.000 -1.419 2.458 0.000 0.000 0.000 9.719" Properties=species:S:1:pos:R:3 pbc="T T T"
Be 1.419 0.819 8.959
Be 0.000 1.639 4.099
Be 0.000 1.639 0.760
Be 1.419 0.819 5.620
Be 0.000 0.000 7.290
Be 0.000 0.000 2.430
N 0.000 0.000 0.000
N 0.000 0.000 4.860
N 1.419 0.819 7.290
N 0.000 1.639 2.430
```

Computed properties:
Space group: P6_3/mmc (194)
Crystal system: hexagonal
Relative energy among the computed polymorphs: 35 meV per atom
Energy: -69.6 eV for the cell shown
E_form (uncorrected): -1.15 eV per atom

***

Crystalline Be2Al2Zn at its relaxed geometry. Source: Alexandria, functional PBEsol.

Geometry as extended XYZ:
```
10
Lattice="2.803 0.000 0.000 0.000 6.768 0.000 0.000 0.000 6.768" Properties=species:S:1:pos:R:3 pbc="T T T"
Be 0.000 2.632 6.016
Be 0.000 6.016 4.136
Be 0.000 4.136 0.752
Be 0.000 0.752 2.632
Zn 0.000 0.000 0.000
Zn 0.000 3.384 3.384
Al 1.402 1.247 4.631
Al 1.402 4.631 5.521
Al 1.402 5.521 2.137
Al 1.402 2.137 1.247
```

Computed properties:
Formation energy from the elements: 0.252 eV/atom
Space group: P4/mbm (127)
Crystal system: tetragonal
Energy: -33.0 eV for the cell shown

***

Crystalline TaInPb2 at its relaxed geometry. Source: Alexandria, functional PBEsol.

Geometry as extended XYZ:
```
4
Lattice="3.781 0.000 0.000 0.000 5.028 0.000 -1.890 -2.514 4.863" Properties=species:S:1:pos:R:3 pbc="T T T"
In 0.000 2.514 2.309
Pb 1.890 2.514 4.801
Pb 1.890 0.000 2.552
Ta 1.890 2.514 0.064
```

Computed properties:
Formation energy from the elements: 0.526 eV/atom
Space group: Imm2 (44)
Crystal system: orthorhombic
Energy: -21.4 eV for the cell shown

***

Crystalline CuAgOs2 at its relaxed geometry. Source: Alexandria, functional PBEsol.

Geometry as extended XYZ:
```
4
Lattice="-0.697 -2.492 0.787 -0.299 0.096 -4.606 4.627 -1.170 0.393" Properties=species:S:1:pos:R:3 pbc="T T T"
Ag 2.095 -1.867 0.591
Cu 3.070 -1.442 -1.846
Os 0.132 -0.036 0.004
Os 0.298 -2.052 -1.584
```

Computed properties:
Formation energy from the elements: 0.487 eV/atom
Space group: Cm (8)
Crystal system: monoclinic
Relative energy among the computed polymorphs: 0 meV per atom
Energy: -30.1 eV for the cell shown

***

> Which of these has the lowest energy?

Be3N2